Tl2PbS2: optimized geometry, PBE.

a = 5.5034 Å, b = 5.5034 Å, c = 6.0872 Å
α = 63.13°, β = 63.13°, γ = 90.00°
Last column: nearest neighbours and their distance in Å.
Fractional coordinates of all 5 atoms:
S  0.7500  0.2500  0.5000  4 Tl 2.89
S  0.2500  0.7500  0.5000  4 Tl 2.89
Pb  0.0000  0.0000  0.0000  2 Tl 3.22
Tl  0.3435  0.3435  0.3131  4 S 2.89, 1 Tl 2.93, 1 Pb 3.22
Tl  0.6565  0.6565  0.6869  4 S 2.89, 1 Tl 2.93, 1 Pb 3.22

Output
The value obtained for the energy above the most stable polymorph in this dataset is 0.4568 eV per atom. The uncorrected formation energy comes out at 0.033 eV per atom. The magnetic moment is 0.0 Bohr magnetons per cell. The value obtained for the calculated volume is 28.35 Å³/atom. The calculation puts the density of states at the Fermi level at 0.703 states/eV per atom. The value obtained for the electronic total energy is -3.31 eV per atom.